Compound: RbCdCo2F8
Source: Alexandria via LeMat-Bulk
Functional: GGA+U
Structure: optimized geometry

Total energy ... -52.36 eV per formula unit
N(E_F) ... 6.16 states/eV per cell

Geometry as POSCAR:
```
RbCdCo2F8
1.0
-1.038 -1.612 -4.936
-1.220 -4.783 1.632
-6.337 1.839 0.700
F Co Cd Rb
8 2 1 1
Cartesian
-2.478 -2.091 -3.249
-0.712 -1.965 -1.137
-2.490 -3.503 0.254
-4.647 -3.352 -1.683
-3.948 -1.204 -0.920
-6.118 -2.465 0.646
-7.884 -2.591 -1.466
-6.106 -1.053 -2.857
-5.903 -1.814 -1.130
-2.693 -2.742 -1.473
0.000 0.000 0.000
-3.169 0.919 0.350
```